DFT (PBE with a Hubbard U) results for a geometry-optimized Na3FeO4 structure.

Lattice parameters (Å, degrees): 7.491 5.988 5.433 90.00 90.00 90.00
Space group Pmn2_1 (No. 31)
Asymmetric unit:
Na1 0.000 0.157 0.000 [2 per cell]
Na2 0.243 0.318 0.506 [4 per cell]
Fe1 0.000 0.814 0.520 [2 per cell]
O1 0.000 0.092 0.430 [2 per cell]
O2 0.000 0.803 0.837 [2 per cell]
O3 0.208 0.698 0.433 [4 per cell]

DOS(E_F), states/eV/cell: 0.95
Raw total energy, eV/cell: -78.7
Total magnetization, μB/f.u.: 3.0